Record 1
Below is a geometry-optimized TlNiGe2 structure, with properties calculated at the PBE level.

Properties
The total magnetic moment comes out at 0.00 μB/cell. Its crystal system is cubic. As for the energy relative to the elements: 0.46 eV/atom.

a = 4.770 Å, b = 4.770 Å, c = 4.770 Å
α = 60.00°, β = 60.00°, γ = 60.00°
Fractional coordinates of all 4 atoms:
Tl  0.500  0.500  0.500
Ni  0.000  0.000  0.000
Ge  0.250  0.250  0.250
Ge  0.750  0.750  0.750

Record 2
Below is a geometry-optimized TlNi2Ge2 structure, with properties calculated at the PBE level.

Properties
The total magnetic moment comes out at 0.00 μB/cell. Its crystal system is tetragonal. As for the energy relative to the elements: 0.14 eV/atom.

a = 7.714 Å, b = 7.714 Å, c = 2.772 Å
α = 90.00°, β = 90.00°, γ = 90.00°
Fractional coordinates of all 10 atoms:
Ge  0.131  0.369  0.000
Ge  0.369  0.869  0.000
Ge  0.869  0.631  0.000
Ge  0.631  0.131  0.000
Ni  0.848  0.348  0.500
Ni  0.152  0.652  0.500
Ni  0.652  0.848  0.500
Ni  0.348  0.152  0.500
Tl  0.500  0.500  0.000
Tl  0.000  0.000  0.000

Record 3
Below is a geometry-optimized Tl2NiGe2 structure, with properties calculated at the PBE level.

Properties
The total magnetic moment comes out at 0.00 μB/cell. Its crystal system is tetragonal. As for the energy relative to the elements: 0.12 eV/atom.

a = 6.346 Å, b = 6.346 Å, c = 5.410 Å
α = 90.00°, β = 90.00°, γ = 90.00°
Fractional coordinates of all 10 atoms:
Tl  0.182  0.682  0.500
Tl  0.818  0.318  0.500
Tl  0.682  0.818  0.500
Tl  0.318  0.182  0.500
Ge  0.151  0.349  0.000
Ge  0.349  0.849  0.000
Ge  0.849  0.651  0.000
Ge  0.651  0.151  0.000
Ni  0.500  0.500  0.000
Ni  0.000  0.000  0.000

Record 4
Below is a geometry-optimized Tl2NiGe2 structure, with properties calculated at the PBE level.

Properties
The total magnetic moment comes out at 0.00 μB/cell. Its crystal system is tetragonal. As for the energy relative to the elements: 0.51 eV/atom.

a = 7.057 Å, b = 7.057 Å, c = 4.639 Å
α = 90.00°, β = 90.00°, γ = 90.00°
Fractional coordinates of all 10 atoms:
Tl  0.329  0.829  0.000
Tl  0.829  0.671  0.000
Tl  0.671  0.171  0.000
Tl  0.171  0.329  0.000
Ni  0.500  0.500  0.000
Ni  0.000  0.000  0.000
Ge  0.137  0.637  0.500
Ge  0.363  0.137  0.500
Ge  0.863  0.363  0.500
Ge  0.637  0.863  0.500

Record 5
Below is a geometry-optimized Zr2TlNiGe structure, with properties calculated at the PBE level.

Properties
The total magnetic moment comes out at 0.00 μB/cell. Its crystal system is tetragonal. As for the energy relative to the elements: 0.00 eV/atom.

a = 4.956 Å, b = 4.382 Å, c = 4.956 Å
α = 90.00°, β = 90.00°, γ = 90.00°
Fractional coordinates of all 5 atoms:
Zr  0.500  0.000  0.000
Zr  0.000  0.000  0.500
Ge  0.000  0.500  0.000
Tl  0.500  0.500  0.500
Ni  0.000  0.000  0.000

Record 6
Below is a geometry-optimized TmNi9Ge2 structure, with properties calculated at the PBE level.

Properties
The total magnetic moment comes out at 0.01 μB/cell. Its crystal system is trigonal. As for the energy relative to the elements: -0.18 eV/atom.

a = 4.816 Å, b = 4.816 Å, c = 8.232 Å
α = 72.99°, β = 72.99°, γ = 60.00°
Fractional coordinates of all 12 atoms:
Ni  0.589  0.081  0.741
Ni  0.411  0.919  0.259
Ni  0.411  0.411  0.259
Ni  0.334  0.334  0.998
Ni  0.500  0.500  0.500
Ni  0.666  0.666  0.002
Ni  0.081  0.589  0.741
Ni  0.589  0.589  0.741
Ni  0.919  0.411  0.259
Tm  0.000  0.000  0.000
Ge  0.863  0.863  0.411
Ge  0.137  0.137  0.589